The following is a DFT calculation (PBE) of a geometry-optimized Ni3WC structure.

Summary:
The value obtained for the size of the total moment is 1.3 Bohr magnetons per cell. The calculation puts the density of states at the Fermi level at 5.9 states/eV per cell. The value obtained for the raw total energy is -7.40 eV/atom. The excess energy over the best structure of this formula in the dataset is 0.0 kJ per mole of atoms. The calculation puts the formation energy at 508 meV per atom.

```
data_Ni3WC
_symmetry_space_group_name_H-M 'P 1'
_symmetry_Int_Tables_number 1
_cell_length_a 3.8146
_cell_length_b 3.8146
_cell_length_c 3.8146
_cell_angle_alpha 90.00
_cell_angle_beta 90.00
_cell_angle_gamma 90.00
loop_
_symmetry_equiv_pos_as_xyz
'x,y,z'
loop_
_atom_site_label
_atom_site_fract_x
_atom_site_fract_y
_atom_site_fract_z
Ni1 0.0000 0.0000 0.5000
Ni2 0.0000 0.5000 0.0000
Ni3 0.5000 0.0000 0.0000
W1 0.5000 0.5000 0.5000
C1 0.0000 0.0000 0.0000
```